1.
Entry from Alexandria: MgTcNi2 after structural relaxation (GGA-PBE).

Output
Total DFT energy (no corrections), eV for the cell shown: -23.31

Cell and atoms, written as CIF:
```
data_MgTcNi2
_chemical_formula_sum 'Mg1 Tc1 Ni2'
_space_group_name_H-M_alt 'P 1'
_space_group_IT_number 1
_cell_length_a 2.664
_cell_length_b 2.664
_cell_length_c 7.502
_cell_angle_alpha 90.00
_cell_angle_beta 90.00
_cell_angle_gamma 90.00
loop_
_space_group_symop_operation_xyz
'x,y,z'
loop_
_atom_site_label
_atom_site_fract_x
_atom_site_fract_y
_atom_site_fract_z
_atom_site_occupancy
Tc1 0.000 0.000 0.471 1
Mg1 0.500 0.500 0.770 1
Ni1 0.000 0.000 0.022 1
Ni2 0.500 0.500 0.238 1
```



2.
Entry from Alexandria: MgTcNi2 after structural relaxation (GGA-PBE).

Output
Total DFT energy (no corrections), eV for the cell shown: -23.56

Cell and atoms, written as CIF:
```
data_MgTcNi2
_chemical_formula_sum 'Mg1 Tc1 Ni2'
_space_group_name_H-M_alt 'P 1'
_space_group_IT_number 1
_cell_length_a 4.326
_cell_length_b 2.626
_cell_length_c 4.603
_cell_angle_alpha 90.03
_cell_angle_beta 90.00
_cell_angle_gamma 90.00
loop_
_space_group_symop_operation_xyz
'x,y,z'
loop_
_atom_site_label
_atom_site_fract_x
_atom_site_fract_y
_atom_site_fract_z
_atom_site_occupancy
Mg1 0.500 0.625 0.818 1
Ni1 0.500 0.124 0.303 1
Ni2 0.000 0.125 0.945 1
Tc1 0.000 0.626 0.433 1
```



3.
Entry from Alexandria: MgTcNi2 after structural relaxation (GGA-PBE).

Output
Total DFT energy (no corrections), eV for the cell shown: -23.06

Cell and atoms, written as CIF:
```
data_MgTcNi2
_chemical_formula_sum 'Mg1 Tc1 Ni2'
_space_group_name_H-M_alt 'P 1'
_space_group_IT_number 1
_cell_length_a 4.405
_cell_length_b 4.405
_cell_length_c 4.405
_cell_angle_alpha 126.39
_cell_angle_beta 126.43
_cell_angle_gamma 79.21
loop_
_space_group_symop_operation_xyz
'x,y,z'
loop_
_atom_site_label
_atom_site_fract_x
_atom_site_fract_y
_atom_site_fract_z
_atom_site_occupancy
Ni1 0.000 0.000 0.000 1
Ni2 0.500 0.500 0.000 1
Tc1 0.750 0.250 0.500 1
Mg1 0.250 0.750 0.500 1
```



4.
Entry from Alexandria: MgTcNi after structural relaxation (GGA-PBE).

Output
Total DFT energy (no corrections), eV for the cell shown: -17.22

Cell and atoms, written as CIF:
```
data_MgTcNi
_chemical_formula_sum 'Mg1 Tc1 Ni1'
_space_group_name_H-M_alt 'P 1'
_space_group_IT_number 1
_cell_length_a 2.752
_cell_length_b 2.752
_cell_length_c 6.609
_cell_angle_alpha 90.00
_cell_angle_beta 90.00
_cell_angle_gamma 120.00
loop_
_space_group_symop_operation_xyz
'x,y,z'
loop_
_atom_site_label
_atom_site_fract_x
_atom_site_fract_y
_atom_site_fract_z
_atom_site_occupancy
Tc1 0.333 0.667 0.645 1
Ni1 0.667 0.333 0.343 1
Mg1 0.000 0.000 0.012 1
```



Which of these has the highest total DFT energy (no corrections)?
MgTcNi